# PBE SrCuSi, optimized geometry
data_SrCuSi
_symmetry_space_group_name_H-M 'P 63/m m c'
_symmetry_Int_Tables_number 194
_symmetry_space_group_name_Hall '-P 6c 2c'
_cell_length_a 4.1029
_cell_length_b 4.1029
_cell_length_c 9.3837
_cell_angle_alpha 90.00
_cell_angle_beta 90.00
_cell_angle_gamma 120.00
loop_
_atom_site_label
_atom_site_type_symbol
_atom_site_fract_x
_atom_site_fract_y
_atom_site_fract_z
_atom_site_occupancy
Sr1 Sr 0.0000 0.0000 0.0000 1
Cu1 Cu 0.3333 0.6667 0.2500 1
Si1 Si 0.3333 0.6667 0.7500 1
# Energy (eV for the cell shown): -23.7